1.
Ce2Hg2Au15: relaxed, GGA-PBE.

Unit cell a=9.7271 b=9.7271 c=14.4703 alpha=90.00 beta=90.00 gamma=120.00
Space group R-3m (No. 166, hexagonal axes)
Symmetry-distinct sites (fractional):
Ce 0.0000 0.0000 0.1514
Hg 0.0000 0.0000 0.3955
Au 0.0000 0.3104 0.5000
Au 0.0000 0.5000 0.0000
Au 0.0132 0.5066 0.6500

Properties
- Total magnetization: 2.4 μB per formula unit
- Formation enthalpy at 0 K: -0.225 eV per atom

2.
Ce2Hg5Au: relaxed, GGA-PBE.

Unit cell a=4.8990 b=4.8990 c=31.6721 alpha=90.00 beta=90.00 gamma=120.00
Space group R-3m (No. 166, hexagonal axes)
Symmetry-distinct sites (fractional):
Ce 0.0000 0.0000 0.0929
Hg 0.0000 0.0000 0.2011
Hg 0.0000 0.0000 0.3690
Hg 0.0000 0.0000 0.5000
Au 0.0000 0.0000 0.0000

Properties
- Total magnetization: 1.9 μB per formula unit
- Formation enthalpy at 0 K: -0.199 eV per atom

3.
Ce4Hg3Au: relaxed, GGA-PBE.

Unit cell a=4.165 b=5.313 c=17.881 alpha=90.00 beta=90.00 gamma=90.00
Space group Immm (No. 71)
Symmetry-distinct sites (fractional):
Ce 0.000 0.000 0.126
Ce 0.000 0.500 0.269
Hg 0.000 0.000 0.374
Hg 0.000 0.500 0.000
Au 0.000 0.500 0.500

Properties
- Total magnetization: 1.3 μB per formula unit
- Formation enthalpy at 0 K: -0.226 eV per atom

4.
Ce6HgAu5: relaxed, GGA-PBE.

Unit cell a=5.370 b=7.361 c=7.864 alpha=90.00 beta=107.96 gamma=90.00
Space group P2/m (No. 10)
Symmetry-distinct sites (fractional):
Ce 0.000 0.243 0.000
Ce 0.247 0.247 0.645
Hg 0.500 0.500 0.000
Au 0.256 0.500 0.327
Au 0.261 0.000 0.330
Au 0.500 0.000 0.000

Properties
- Total magnetization: 5.2 μB per formula unit
- Formation enthalpy at 0 K: -0.553 eV per atom

5.
CeHgAu2: relaxed, GGA-PBE.

Unit cell a=3.687 b=3.687 c=6.864 alpha=90.00 beta=90.00 gamma=90.00
Space group P4/mmm (No. 123)
Symmetry-distinct sites (fractional):
Ce 0.000 0.000 0.000
Hg 0.000 0.000 0.500
Au 0.500 0.500 0.257

Properties
- Total magnetization: 1.0 μB per formula unit
- Formation enthalpy at 0 K: -0.407 eV per atom

6.
Ce3Hg3Au2: relaxed, GGA-PBE.

Unit cell a=7.9956 b=7.9956 c=3.7654 alpha=90.00 beta=90.00 gamma=120.00
Space group P-62m (No. 189)
Symmetry-distinct sites (fractional):
Ce 0.0000 0.5946 0.0000
Hg 0.0000 0.2337 0.5000
Au 0.3333 0.6667 0.5000

Properties
- Total magnetization: 2.6 μB per formula unit
- Formation enthalpy at 0 K: -0.489 eV per atom
- Energy above the most stable polymorph in this dataset: 0 meV per atom

7.
CeHgAu: relaxed, GGA-PBE.

Unit cell a=5.2211 b=5.2211 c=6.2851 alpha=90.00 beta=90.00 gamma=120.00
Space group P6_3/mmc (No. 194)
Symmetry-distinct sites (fractional):
Ce 0.3333 0.6667 0.2500
Hg 0.0000 0.0000 0.0000
Au 0.3333 0.6667 0.7500

Properties
- Total magnetization: 0.9 μB per formula unit
- Formation enthalpy at 0 K: -0.549 eV per atom

8.
CeHoHgAu: relaxed, GGA-PBE.

Unit cell a=7.415 b=7.415 c=7.415 alpha=90.00 beta=90.00 gamma=90.00
Space group F-43m (No. 216)
Symmetry-distinct sites (fractional):
Ce 0.000 0.000 0.000
Ho 0.000 0.000 0.500
Hg 0.250 0.250 0.250
Au 0.250 0.250 0.750

Properties
- Total magnetization: 0.8 μB per formula unit
- Formation enthalpy at 0 K: -0.528 eV per atom

9.
Ce2HgIrAu: relaxed, GGA-PBE.

Unit cell a=8.079 b=4.052 c=8.119 alpha=90.00 beta=112.10 gamma=90.00
Space group P2_1/m (No. 11)
Symmetry-distinct sites (fractional):
Ce 0.137 0.250 0.356
Ce 0.296 0.250 0.008
Hg 0.288 0.750 0.690
Ir 0.108 0.750 0.105
Au 0.460 0.750 0.354

Properties
- Total magnetization: 1.2 μB per formula unit
- Formation enthalpy at 0 K: -0.544 eV per atom

10.
LiCeHgAu: relaxed, GGA-PBE.

Unit cell a=7.155 b=7.155 c=7.155 alpha=90.00 beta=90.00 gamma=90.00
Space group F-43m (No. 216)
Symmetry-distinct sites (fractional):
Li 0.000 0.000 0.000
Ce 0.000 0.000 0.500
Hg 0.250 0.250 0.250
Au 0.250 0.250 0.750

Properties
- Total magnetization: 0.9 μB per formula unit
- Formation enthalpy at 0 K: -0.446 eV per atom

11.
Li2CeHgAu2: relaxed, GGA-PBE.

Unit cell a=4.5948 b=4.5948 c=6.7321 alpha=90.00 beta=90.00 gamma=120.00
Space group P-3m1 (No. 164)
Symmetry-distinct sites (fractional):
Li 0.3333 0.6667 0.1487
Ce 0.0000 0.0000 0.5000
Hg 0.0000 0.0000 0.0000
Au 0.3333 0.6667 0.7459

Properties
- Total magnetization: 1.1 μB per formula unit
- Formation enthalpy at 0 K: -0.499 eV per atom

12.
CeMg2HgAu2: relaxed, GGA-PBE.

Unit cell a=4.7559 b=4.7559 c=6.7180 alpha=90.00 beta=90.00 gamma=120.00
Space group P-3m1 (No. 164)
Symmetry-distinct sites (fractional):
Ce 0.0000 0.0000 0.0000
Mg 0.3333 0.6667 0.6668
Hg 0.0000 0.0000 0.5000
Au 0.3333 0.6667 0.2285

Properties
- Total magnetization: 0.9 μB per formula unit
- Formation enthalpy at 0 K: -0.511 eV per atom